Density functional theory data (GGA+U) for a geometry-optimized Sr3MnGe2O9 structure.

Computed properties:
- E: -98.32 eV for the cell shown
- Total moment: 3.013 Bohr magnetons per cell
- SG: P-3m1 (164)
- DOS(E_F): 1.57 states/eV/f.u.
- Volume: 11.51 A^3/atom

a = 5.463 Å, b = 5.463 Å, c = 6.683 Å
α = 90.00°, β = 90.00°, γ = 120.00°
Sites, in units of the cell vectors:
Sr  0.000  0.000  0.000
Sr  0.333  0.667  0.665
Sr  0.667  0.333  0.335
Mn  0.000  0.000  0.500
Ge  0.333  0.667  0.166
Ge  0.667  0.333  0.834
O  0.000  0.500  0.000
O  0.168  0.335  0.332
O  0.168  0.832  0.332
O  0.335  0.168  0.668
O  0.500  0.000  0.000
O  0.500  0.500  0.000
O  0.665  0.832  0.332
O  0.832  0.168  0.668
O  0.832  0.665  0.668